# 1
{
  "formula": "Hf2TiNb",
  "functional": "PBE-GGA",
  "state": "relaxed",
  "sg": "Fm-3m",
  "density_g_cm3": 10.41,
  "ef_mev_per_atom": 103,
  "e_above_lowest_polymorph_mev_per_atom": 0,
  "m_tot_mub_per_fu": 0.0,
  "cell": [[0.000, 3.411, 3.411], [3.411, 0.000, 3.411], [3.411, 3.411, 0.000]],
  "species": ["Hf", "Hf", "Nb", "Ti"],
  "frac_coords": [[0.250, 0.250, 0.250], [0.750, 0.750, 0.750], [0.500, 0.500, 0.500], [0.000, 0.000, 0.000]]
}

# 2
{
  "formula": "HfTiNb2",
  "functional": "PBE-GGA",
  "state": "relaxed",
  "sg": "Cmcm",
  "density_g_cm3": 8.08,
  "ef_mev_per_atom": 633,
  "e_above_lowest_polymorph_mev_per_atom": 554,
  "m_tot_mub_per_fu": 0.0,
  "cell": [[5.042, 0.000, 0.000], [0.000, 5.450, 0.000], [-2.521, 0.000, 6.167]],
  "species": ["Nb", "Nb", "Nb", "Nb", "Ti", "Ti", "Hf", "Hf"],
  "frac_coords": [[0.195, 0.511, 0.391], [0.195, 0.989, 0.391], [0.805, 0.011, 0.609], [0.805, 0.489, 0.609], [0.991, 0.750, 0.983], [0.009, 0.250, 0.017], [0.414, 0.250, 0.828], [0.586, 0.750, 0.172]]
}